Material: CaAcY2
Method: DFT, PBE-GGA
State: optimized geometry

extended XYZ file:
```
16
Lattice="8.4065 0.0000 0.0000 0.0000 8.4065 0.0000 0.0000 0.0000 8.4065" Properties=species:S:1:pos:R:3 pbc="T T T"
Ca 0.0000 0.0000 0.0000
Ca 0.0000 4.2032 4.2032
Ca 4.2032 0.0000 4.2032
Ca 4.2032 4.2032 0.0000
Ac 0.0000 0.0000 4.2032
Ac 0.0000 4.2032 0.0000
Ac 4.2032 0.0000 0.0000
Ac 4.2032 4.2032 4.2032
Y 2.1016 2.1016 2.1016
Y 2.1016 2.1016 6.3049
Y 2.1016 6.3049 2.1016
Y 2.1016 6.3049 6.3049
Y 6.3049 2.1016 2.1016
Y 6.3049 2.1016 6.3049
Y 6.3049 6.3049 2.1016
Y 6.3049 6.3049 6.3049
```

- magnetic moment (μB per formula unit) = 0.0
- ΔE_f (meV per atom) = 147.6
- E above lowest polymorph (meV/atom) = 65
- space-group type = Fm-3m, No. 225